# CrCu2Pt

A relaxed CrCu2Pt crystal (GGA-PBEsol, Alexandria).

Summary:
magnetic moment = 3.3 μB/f.u.
calculated density = 12.1 g cm⁻³
final energy = -6.436 eV/atom
DFT formation energy = 0.13 eV per formula unit

Structure (POSCAR):
```
CrCu2Pt
1.0
-1.8383 1.8383 3.7898
1.8383 -1.8383 3.7898
1.8383 1.8383 -3.7898
Cr Cu Pt
1 2 1
Cartesian
0.0000 0.0000 0.0000 Cr
1.8383 0.0000 1.8949 Cu
0.0000 1.8383 1.8949 Cu
0.0000 0.0000 3.7898 Pt
```